# PmBi (PBE, relaxed)
data_PmBi
_chemical_formula_sum 'Pm4 Bi4'
_symmetry_space_group_name_H-M 'P 1'
_symmetry_Int_Tables_number 1
_symmetry_space_group_name_Hall 'P 1'
_cell_length_a 6.4585
_cell_length_b 6.4585
_cell_length_c 6.4585
_cell_angle_alpha 90.00
_cell_angle_beta 90.00
_cell_angle_gamma 90.00
loop_
_atom_site_label
_atom_site_fract_x
_atom_site_fract_y
_atom_site_fract_z
_atom_site_occupancy
Pm1 0.0000 0.0000 0.0000 1
Pm2 0.0000 0.5000 0.5000 1
Pm3 0.5000 0.0000 0.5000 1
Pm4 0.5000 0.5000 0.0000 1
Bi1 0.0000 0.0000 0.5000 1
Bi2 0.0000 0.5000 0.0000 1
Bi3 0.5000 0.0000 0.0000 1
Bi4 0.5000 0.5000 0.5000 1
# offset from the most stable computed form = 0 meV/atom
# space group = Fm-3m (225)

---

# ZrOF2 (PBE, relaxed)
data_ZrOF2
_chemical_formula_sum 'Zr2 O2 F4'
_symmetry_space_group_name_H-M 'P 1'
_symmetry_Int_Tables_number 1
_symmetry_space_group_name_Hall 'P 1'
_cell_length_a 3.3632
_cell_length_b 3.9505
_cell_length_c 8.4072
_cell_angle_alpha 90.00
_cell_angle_beta 90.00
_cell_angle_gamma 90.00
loop_
_atom_site_label
_atom_site_fract_x
_atom_site_fract_y
_atom_site_fract_z
_atom_site_occupancy
Zr1 0.0000 0.0000 0.0000 1
Zr2 0.5000 0.5000 0.5000 1
O1 0.0000 0.5000 0.0000 1
O2 0.5000 0.0000 0.5000 1
F1 0.0000 0.5000 0.3441 1
F2 0.0000 0.5000 0.6559 1
F3 0.5000 0.0000 0.1559 1
F4 0.5000 0.0000 0.8441 1
# space group = Immm (71)
# final energy = -7.632 eV/atom

---

# PrCo (PBE, relaxed)
data_PrCo
_chemical_formula_sum 'Pr2 Co2'
_symmetry_space_group_name_H-M 'P 1'
_symmetry_Int_Tables_number 1
_symmetry_space_group_name_Hall 'P 1'
_cell_length_a 4.2924
_cell_length_b 4.2924
_cell_length_c 6.9504
_cell_angle_alpha 90.00
_cell_angle_beta 90.00
_cell_angle_gamma 120.00
loop_
_atom_site_label
_atom_site_fract_x
_atom_site_fract_y
_atom_site_fract_z
_atom_site_occupancy
Pr1 0.3333 0.6667 0.0000 1
Pr2 0.6667 0.3333 0.5000 1
Co1 0.3333 0.6667 0.6268 1
Co2 0.6667 0.3333 0.1268 1
# energy of formation = 0.819 eV/atom
# space group = P6_3mc (186)

---

# Ho2LuFe9 (PBE, relaxed)
data_Ho2LuFe9
_chemical_formula_sum 'Ho2 Lu1 Fe9'
_symmetry_space_group_name_H-M 'P 1'
_symmetry_Int_Tables_number 1
_symmetry_space_group_name_Hall 'P 1'
_cell_length_a 8.5138
_cell_length_b 8.5138
_cell_length_c 8.5138
_cell_angle_alpha 34.28
_cell_angle_beta 34.28
_cell_angle_gamma 34.28
loop_
_atom_site_label
_atom_site_fract_x
_atom_site_fract_y
_atom_site_fract_z
_atom_site_occupancy
Ho1 0.1417 0.1417 0.1417 1
Ho2 0.8583 0.8583 0.8583 1
Lu1 0.0000 0.0000 0.0000 1
Fe1 0.0813 0.5814 0.5814 1
Fe2 0.3328 0.3328 0.3328 1
Fe3 0.4186 0.4186 0.9187 1
Fe4 0.4186 0.9187 0.4186 1
Fe5 0.5000 0.5000 0.5000 1
Fe6 0.5814 0.0813 0.5814 1
Fe7 0.5814 0.5814 0.0813 1
Fe8 0.6672 0.6672 0.6672 1
Fe9 0.9187 0.4186 0.4186 1
# energy of formation = -0.094 eV/atom
# space group = R-3m (166)

---

# Cd3SO6 (PBE, relaxed)
data_Cd3SO6
_chemical_formula_sum 'Cd6 S2 O12'
_symmetry_space_group_name_H-M 'P 1'
_symmetry_Int_Tables_number 1
_symmetry_space_group_name_Hall 'P 1'
_cell_length_a 6.8414
_cell_length_b 7.0165
_cell_length_c 7.0640
_cell_angle_alpha 60.73
_cell_angle_beta 89.23
_cell_angle_gamma 72.08
loop_
_atom_site_label
_atom_site_fract_x
_atom_site_fract_y
_atom_site_fract_z
_atom_site_occupancy
Cd1 0.1743 0.0190 0.1503 1
Cd2 0.2621 0.4993 0.1519 1
Cd3 0.3122 0.9999 0.6562 1
Cd4 0.6878 0.0001 0.3438 1
Cd5 0.7379 0.5007 0.8481 1
Cd6 0.8257 0.9810 0.8497 1
S1 0.2351 0.5141 0.6677 1
S2 0.7649 0.4859 0.3323 1
O1 0.0980 0.7334 0.4742 1
O2 0.1028 0.4087 0.8290 1
O3 0.1794 0.8658 0.9491 1
O4 0.3323 0.1344 0.3080 1
O5 0.3603 0.3493 0.6013 1
O6 0.3775 0.5675 0.7794 1
O7 0.6225 0.4325 0.2206 1
O8 0.6397 0.6507 0.3987 1
O9 0.6677 0.8656 0.6920 1
O10 0.8206 0.1342 0.0509 1
O11 0.8972 0.5913 0.1710 1
O12 0.9020 0.2666 0.5258 1
# space group = P-1 (2)
# final energy = -4.888 eV/atom

---

# YErSi2Pt (PBE, relaxed)
data_YErSi2Pt
_chemical_formula_sum 'Y2 Er2 Si4 Pt2'
_symmetry_space_group_name_H-M 'P 1'
_symmetry_Int_Tables_number 1
_symmetry_space_group_name_Hall 'P 1'
_cell_length_a 5.5806
_cell_length_b 5.5806
_cell_length_c 10.1237
_cell_angle_alpha 115.48
_cell_angle_beta 115.48
_cell_angle_gamma 45.07
loop_
_atom_site_label
_atom_site_fract_x
_atom_site_fract_y
_atom_site_fract_z
_atom_site_occupancy
Y1 0.1888 0.1888 0.1073 1
Y2 0.8112 0.8112 0.8927 1
Er1 0.0071 0.0071 0.3259 1
Er2 0.9929 0.9929 0.6741 1
Si1 0.3611 0.3611 0.4425 1
Si2 0.4836 0.4836 0.1144 1
Si3 0.5164 0.5164 0.8856 1
Si4 0.6389 0.6389 0.5575 1
Pt1 0.2711 0.2711 0.6540 1
Pt2 0.7289 0.7289 0.3460 1
# space group = C2/m (12)
# final energy = -6.636 eV/atom

---

# LiBe2Cd (PBE, relaxed)
data_LiBe2Cd
_chemical_formula_sum 'Li4 Be8 Cd4'
_symmetry_space_group_name_H-M 'P 1'
_symmetry_Int_Tables_number 1
_symmetry_space_group_name_Hall 'P 1'
_cell_length_a 5.7790
_cell_length_b 5.7790
_cell_length_c 5.7790
_cell_angle_alpha 90.00
_cell_angle_beta 90.00
_cell_angle_gamma 90.00
loop_
_atom_site_label
_atom_site_fract_x
_atom_site_fract_y
_atom_site_fract_z
_atom_site_occupancy
Li1 0.0000 0.0000 0.0000 1
Li2 0.0000 0.5000 0.5000 1
Li3 0.5000 0.0000 0.5000 1
Li4 0.5000 0.5000 0.0000 1
Be1 0.0000 0.0000 0.5000 1
Be2 0.0000 0.5000 0.0000 1
Be3 0.2500 0.2500 0.2500 1
Be4 0.2500 0.7500 0.7500 1
Be5 0.5000 0.0000 0.0000 1
Be6 0.5000 0.5000 0.5000 1
Be7 0.7500 0.2500 0.7500 1
Be8 0.7500 0.7500 0.2500 1
Cd1 0.2500 0.2500 0.7500 1
Cd2 0.2500 0.7500 0.2500 1
Cd3 0.7500 0.2500 0.2500 1
Cd4 0.7500 0.7500 0.7500 1
# space group = F-43m (216)
# final energy = -2.363 eV/atom

---

# Nd2Sm2CICl4 (PBE, relaxed)
data_Nd2Sm2CICl4
_chemical_formula_sum 'Nd2 Sm2 C1 I1 Cl4'
_symmetry_space_group_name_H-M 'P 1'
_symmetry_Int_Tables_number 1
_symmetry_space_group_name_Hall 'P 1'
_cell_length_a 9.0455
_cell_length_b 9.0455
_cell_length_c 8.6530
_cell_angle_alpha 105.21
_cell_angle_beta 105.21
_cell_angle_gamma 25.12
loop_
_atom_site_label
_atom_site_fract_x
_atom_site_fract_y
_atom_site_fract_z
_atom_site_occupancy
Nd1 0.1469 0.1469 0.0845 1
Nd2 0.8531 0.8531 0.9155 1
Sm1 0.4994 0.4994 0.1950 1
Sm2 0.5006 0.5006 0.8050 1
C1 0.0000 0.0000 0.0000 1
I1 0.0000 0.0000 0.5000 1
Cl1 0.3312 0.3312 0.1426 1
Cl2 0.3357 0.3357 0.6749 1
Cl3 0.6643 0.6643 0.3251 1
Cl4 0.6688 0.6688 0.8574 1
# offset from the most stable computed form = 3 meV/atom
# space group = C2/m (12)

---

# Y2Fe2B4Ir3 (PBE, relaxed)
data_Y2Fe2B4Ir3
_chemical_formula_sum 'Y2 Fe2 B4 Ir3'
_symmetry_space_group_name_H-M 'P 1'
_symmetry_Int_Tables_number 1
_symmetry_space_group_name_Hall 'P 1'
_cell_length_a 7.4348
_cell_length_b 6.2722
_cell_length_c 5.5085
_cell_angle_alpha 77.96
_cell_angle_beta 55.60
_cell_angle_gamma 46.44
loop_
_atom_site_label
_atom_site_fract_x
_atom_site_fract_y
_atom_site_fract_z
_atom_site_occupancy
Y1 0.1392 0.1392 0.8608 1
Y2 0.8608 0.8608 0.1392 1
Fe1 0.0000 0.0000 0.5000 1
Fe2 0.5000 0.5000 0.0000 1
B1 0.2095 0.5425 0.4575 1
B2 0.4575 0.7905 0.2095 1
B3 0.5425 0.2095 0.7905 1
B4 0.7905 0.4575 0.5425 1
Ir1 0.2500 0.2500 0.2500 1
Ir2 0.5000 0.5000 0.5000 1
Ir3 0.7500 0.7500 0.7500 1
# space group = Fmmm (69)
# final energy = -8.139 eV/atom

---

# YHfTl2Br6 (PBE, relaxed)
data_YHfTl2Br6
_chemical_formula_sum 'Y1 Hf1 Tl2 Br6'
_symmetry_space_group_name_H-M 'P 1'
_symmetry_Int_Tables_number 1
_symmetry_space_group_name_Hall 'P 1'
_cell_length_a 7.6963
_cell_length_b 7.6963
_cell_length_c 7.6963
_cell_angle_alpha 60.00
_cell_angle_beta 60.00
_cell_angle_gamma 60.00
loop_
_atom_site_label
_atom_site_fract_x
_atom_site_fract_y
_atom_site_fract_z
_atom_site_occupancy
Y1 0.0000 0.0000 0.0000 1
Hf1 0.5000 0.5000 0.5000 1
Tl1 0.2500 0.2500 0.2500 1
Tl2 0.7500 0.7500 0.7500 1
Br1 0.2567 0.2567 0.7433 1
Br2 0.2567 0.7433 0.2567 1
Br3 0.2567 0.7433 0.7433 1
Br4 0.7433 0.2567 0.2567 1
Br5 0.7433 0.2567 0.7433 1
Br6 0.7433 0.7433 0.2567 1
# space group = Fm-3m (225)
# final energy = -4.049 eV/atom

---

# NiAgSnPt (PBE, relaxed)
data_NiAgSnPt
_chemical_formula_sum 'Ni4 Ag4 Sn4 Pt4'
_symmetry_space_group_name_H-M 'P 1'
_symmetry_Int_Tables_number 1
_symmetry_space_group_name_Hall 'P 1'
_cell_length_a 6.3907
_cell_length_b 6.3907
_cell_length_c 6.3907
_cell_angle_alpha 90.00
_cell_angle_beta 90.00
_cell_angle_gamma 90.00
loop_
_atom_site_label
_atom_site_fract_x
_atom_site_fract_y
_atom_site_fract_z
_atom_site_occupancy
Ni1 0.0000 0.0000 0.0000 1
Ni2 0.0000 0.5000 0.5000 1
Ni3 0.5000 0.0000 0.5000 1
Ni4 0.5000 0.5000 0.0000 1
Ag1 0.2500 0.2500 0.2500 1
Ag2 0.2500 0.7500 0.7500 1
Ag3 0.7500 0.2500 0.7500 1
Ag4 0.7500 0.7500 0.2500 1
Sn1 0.2500 0.2500 0.7500 1
Sn2 0.2500 0.7500 0.2500 1
Sn3 0.7500 0.2500 0.2500 1
Sn4 0.7500 0.7500 0.7500 1
Pt1 0.0000 0.0000 0.5000 1
Pt2 0.0000 0.5000 0.0000 1
Pt3 0.5000 0.0000 0.0000 1
Pt4 0.5000 0.5000 0.5000 1
# space group = F-43m (216)
# final energy = -4.754 eV/atom

---

# KBaDy (PBE, relaxed)
data_KBaDy
_chemical_formula_sum 'K4 Ba4 Dy4'
_symmetry_space_group_name_H-M 'P 1'
_symmetry_Int_Tables_number 1
_symmetry_space_group_name_Hall 'P 1'
_cell_length_a 8.7954
_cell_length_b 8.7954
_cell_length_c 8.7954
_cell_angle_alpha 90.00
_cell_angle_beta 90.00
_cell_angle_gamma 90.00
loop_
_atom_site_label
_atom_site_fract_x
_atom_site_fract_y
_atom_site_fract_z
_atom_site_occupancy
K1 0.0000 0.0000 0.0000 1
K2 0.0000 0.5000 0.5000 1
K3 0.5000 0.0000 0.5000 1
K4 0.5000 0.5000 0.0000 1
Ba1 0.2500 0.2500 0.7500 1
Ba2 0.2500 0.7500 0.2500 1
Ba3 0.7500 0.2500 0.2500 1
Ba4 0.7500 0.7500 0.7500 1
Dy1 0.2500 0.2500 0.2500 1
Dy2 0.2500 0.7500 0.7500 1
Dy3 0.7500 0.2500 0.7500 1
Dy4 0.7500 0.7500 0.2500 1
# offset from the most stable computed form = 0 meV/atom
# space group = F-43m (216)

---

Q: Which formula does entry 3 have?
A: PrCo